Here is crystalline KSrIBr2 at its relaxed geometry from Alexandria via LeMat-Bulk. Energies are from PBE.

For the total magnetic moment, the calculation gives 0.000 μB per formula unit. Its uncorrected formation energy is -1.769 eV/atom.

The structure belongs to space group P4/mmm (No. 123); the cell edges are 5.959, 5.959 and 6.506 Å and the angles 90.00°, 90.00° and 90.00°. The inequivalent atoms are K at (0.000, 0.000, 0.000), Sr at (0.500, 0.500, 0.500), I at (0.500, 0.500, 0.000) and Br at (0.000, 0.500, 0.500).